## FePPbS2 (PBE)

Data for a relaxed FePPbS2 crystal.

Cell and atoms, written as POSCAR:
```
FePPbS2
1.0
-0.846 -4.802 1.700
2.959 0.939 4.126
-4.128 1.643 2.587
P S Fe Pb
1 2 1 1
Direct
0.000 0.000 0.500 P
0.000 0.500 0.000 S
0.500 0.000 0.000 S
0.500 0.500 0.500 Fe
0.000 0.000 0.000 Pb
```

raw formation energy = 1333 meV per atom
crystal system = tetragonal
DFT total energy = -0.2818 Ry per atom
calculated volume = 137.1 Å³/f.u.